1.
A geometry-optimized Ba3Ag2PdO6 structure. Source: Alexandria, functional PBE-GGA.

- Energy relative to the elements, uncorrected: -1.28 eV per atom
- DOS at the Fermi energy: 0.66 states/eV per atom
- Total magnetization: 0.0 Bohr magnetons per cell

Unit cell a=6.0658 b=6.0658 c=6.7314 alpha=90.00 beta=90.00 gamma=120.00
Fractional coordinates of all 12 atoms:
Ag 0.3333 0.6667 0.1283
Ag 0.6667 0.3333 0.8717
O 0.1614 0.8386 0.3217
Ba 0.0000 0.0000 0.0000
Ba 0.6667 0.3333 0.3790
O 0.8386 0.6771 0.6783
O 0.3229 0.1614 0.6783
Ba 0.3333 0.6667 0.6210
Pd 0.0000 0.0000 0.5000
O 0.1614 0.3229 0.3217
O 0.8386 0.1614 0.6783
O 0.6771 0.8386 0.3217

2.
A geometry-optimized RbPmAs2O8 structure. Source: Alexandria, functional PBE-GGA.

- Energy relative to the elements, uncorrected: -1.58 eV per atom
- DOS at the Fermi energy: 1.02 states/eV per atom
- Total magnetization: 2.0 Bohr magnetons per cell

Unit cell a=5.9340 b=5.9340 c=8.1797 alpha=90.00 beta=90.00 gamma=120.00
Fractional coordinates of all 12 atoms:
O 0.6494 0.8215 0.6786
O 0.8279 0.6494 0.3214
O 0.3333 0.6667 0.9552
O 0.1785 0.8279 0.6786
O 0.6667 0.3333 0.0448
As 0.6667 0.3333 0.2565
Pm 0.0000 0.0000 0.5000
O 0.1721 0.3506 0.6786
O 0.3506 0.1785 0.3214
Rb 0.0000 0.0000 0.0000
As 0.3333 0.6667 0.7435
O 0.8215 0.1721 0.3214

3.
A geometry-optimized TaSbH structure. Source: Alexandria, functional PBE-GGA.

- Polymorph energy (0 for the lowest one): 0 meV per atom
- DOS at the Fermi energy: 0.28 states/eV per atom
- Total magnetization: 0.0 Bohr magnetons per cell

Unit cell a=3.4883 b=7.4921 c=7.4921 alpha=90.00 beta=90.00 gamma=90.00
Fractional coordinates of all 12 atoms:
H 0.0000 0.4492 0.7597
H 0.0000 0.5508 0.2403
Ta 0.5000 0.6400 0.3213
Ta 0.0000 0.6787 0.6400
Ta 0.5000 0.3600 0.6787
H 0.5000 0.2403 0.4492
Sb 0.5000 0.6967 0.9372
Sb 0.5000 0.3033 0.0628
H 0.5000 0.7597 0.5508
Sb 0.0000 0.9372 0.3033
Ta 0.0000 0.3213 0.3600
Sb 0.0000 0.0628 0.6967

- total magnetization of number 3 (TaSbH)?
  0.0 Bohr magnetons per cell

- DOS at the Fermi energy of number 2 (RbPmAs2O8)?
  1.02 states/eV per atom

- Look up the DOS at the Fermi energy of the first one.
  0.66 states/eV per atom

- Which value of DOS at the Fermi energy does entry 3 give?
  0.28 states/eV per atom